Record 1
First-principles (PBEsol) data for a relaxed structure of Li4NbCrTe2O12, as listed in Alexandria via LeMat-Bulk.

Lattice parameters (Å, degrees): 5.083 5.379 7.403 94.36 90.04 90.00
Sites, in units of the cell vectors:
Li  0.000  0.000  0.000
Li  0.002  0.021  0.463
Li  0.499  0.547  0.991
Li  0.504  0.660  0.404
Nb  0.502  0.105  0.699
Cr  0.003  0.591  0.193
Te  0.002  0.596  0.692
Te  0.505  0.106  0.196
O  0.128  0.618  0.937
O  0.177  0.285  0.624
O  0.198  0.915  0.251
O  0.308  0.789  0.623
O  0.326  0.420  0.246
O  0.370  0.110  0.946
O  0.630  0.098  0.443
O  0.682  0.427  0.758
O  0.695  0.801  0.129
O  0.807  0.291  0.121
O  0.824  0.917  0.752
O  0.877  0.621  0.447

E_form (uncorrected) ... -35.58 eV/f.u.

***

Record 2
First-principles (PBEsol) data for a relaxed structure of Li4Ti2Nb3Cr3O16, as listed in Alexandria via LeMat-Bulk.

Lattice parameters (Å, degrees): 5.762 5.762 9.710 90.36 90.36 61.63
Sites, in units of the cell vectors:
Li  0.000  0.000  0.000
Li  0.010  0.010  0.509
Li  0.321  0.321  0.395
Li  0.653  0.653  0.919
Ti  0.319  0.319  0.009
Ti  0.644  0.644  0.503
Nb  0.159  0.623  0.725
Nb  0.623  0.159  0.725
Nb  0.818  0.818  0.230
Cr  0.180  0.180  0.728
Cr  0.331  0.821  0.226
Cr  0.821  0.331  0.226
O  0.001  0.001  0.326
O  0.018  0.463  0.865
O  0.155  0.658  0.107
O  0.159  0.159  0.116
O  0.316  0.316  0.586
O  0.332  0.824  0.610
O  0.463  0.018  0.865
O  0.473  0.473  0.861
O  0.506  0.953  0.356
O  0.510  0.510  0.347
O  0.647  0.647  0.114
O  0.658  0.155  0.107
O  0.822  0.822  0.598
O  0.824  0.332  0.610
O  0.953  0.506  0.356
O  0.996  0.996  0.817

E_form (uncorrected) ... -65.94 eV/f.u.

***

Record 3
First-principles (PBEsol) data for a relaxed structure of Li4Ti3Nb3Cr2O16, as listed in Alexandria via LeMat-Bulk.

Lattice parameters (Å, degrees): 5.904 5.904 9.723 90.22 90.22 59.73
Sites, in units of the cell vectors:
Li  0.000  0.000  0.000
Li  0.002  0.002  0.503
Li  0.341  0.341  0.908
Li  0.678  0.678  0.397
Ti  0.179  0.670  0.222
Ti  0.670  0.179  0.222
Ti  0.843  0.843  0.725
Nb  0.177  0.177  0.218
Nb  0.369  0.821  0.716
Nb  0.821  0.369  0.716
Cr  0.340  0.340  0.489
Cr  0.676  0.676  0.992
O  0.003  0.003  0.323
O  0.009  0.009  0.820
O  0.049  0.492  0.350
O  0.177  0.177  0.602
O  0.179  0.671  0.607
O  0.343  0.840  0.106
O  0.348  0.348  0.108
O  0.488  0.488  0.344
O  0.492  0.049  0.350
O  0.525  0.525  0.865
O  0.534  0.972  0.850
O  0.671  0.179  0.607
O  0.698  0.698  0.591
O  0.840  0.343  0.106
O  0.844  0.844  0.111
O  0.972  0.534  0.850

E_form (uncorrected) ... -67.63 eV/f.u.

***

Record 4
First-principles (PBEsol) data for a relaxed structure of LiNbCr2Rh, as listed in Alexandria via LeMat-Bulk.

Lattice parameters (Å, degrees): 3.970 3.970 4.296 90.00 90.00 90.00
Sites, in units of the cell vectors:
Li  0.000  0.000  0.000
Nb  0.000  0.000  0.500
Cr  0.000  0.500  0.000
Cr  0.500  0.000  0.000
Rh  0.500  0.500  0.500

Total energy ... -35.407 eV/f.u.

***

Record 5
First-principles (PBEsol) data for a relaxed structure of LiY2NbCr, as listed in Alexandria via LeMat-Bulk.

Lattice parameters (Å, degrees): 5.234 5.234 4.927 90.00 90.00 90.00
Sites, in units of the cell vectors:
Li  0.000  0.000  0.000
Y  0.000  0.500  0.500
Y  0.500  0.000  0.500
Nb  0.000  0.000  0.500
Cr  0.500  0.500  0.000

Total energy ... -30.599 eV/f.u.

***

Record 6
First-principles (PBEsol) data for a relaxed structure of Li2CrNi, as listed in Alexandria via LeMat-Bulk.

Lattice parameters (Å, degrees): 4.913 4.913 4.913 139.13 139.13 59.18
Sites, in units of the cell vectors:
Li  0.250  0.750  0.500
Li  0.750  0.250  0.500
Cr  0.000  0.000  0.000
Ni  0.500  0.500  0.000

E above lowest polymorph ... 0.000 eV/f.u.

***

Record 7
First-principles (PBEsol) data for a relaxed structure of LiCrNi2, as listed in Alexandria via LeMat-Bulk.

Lattice parameters (Å, degrees): 2.488 2.488 7.043 90.00 90.00 90.00
Sites, in units of the cell vectors:
Li  0.000  0.000  0.000
Cr  0.000  0.000  0.500
Ni  0.500  0.500  0.263
Ni  0.500  0.500  0.737

E above lowest polymorph ... 0.000 eV/f.u.

***

Record 8
First-principles (PBEsol) data for a relaxed structure of LiCrNi2, as listed in Alexandria via LeMat-Bulk.

Lattice parameters (Å, degrees): 2.379 3.795 4.759 90.00 90.00 90.00
Sites, in units of the cell vectors:
Li  0.000  0.000  0.000
Cr  0.500  0.500  0.699
Ni  0.000  0.000  0.494
Ni  0.500  0.500  0.207

E above lowest polymorph ... 0.640 eV/f.u.

***

Record 9
First-principles (PBEsol) data for a relaxed structure of LiCrNi, as listed in Alexandria via LeMat-Bulk.

Lattice parameters (Å, degrees): 4.259 4.259 4.259 147.91 127.35 63.01
Sites, in units of the cell vectors:
Li  0.000  0.000  0.000
Cr  0.324  0.324  0.000
Ni  0.666  0.666  0.000

Total energy ... -17.276 eV/f.u.

***

| no. | DOS(E_F) (states/eV/f.u.) |
| --- | --- |
| 1 | 1.3 |
| 2 | 3.4 |
| 3 | 10.0 |
| 4 | 5.5 |
| 5 | 4.8 |
| 6 | 3.5 |
| 7 | 2.7 |
| 8 | 4.4 |
| 9 | 3.0 |